LiMn3Tl2F12: relaxed, PBE with a Hubbard U.

Results
Spin magnetization (Bohr magnetons per cell): 36.0
VASP energy (eV per atom): -5.26
Crystal system: trigonal
V (Å³/cell): 848.42

```
data_LiMn3Tl2F12
_space_group_name_H-M_alt 'R -3 m'
_space_group_IT_number 166
_space_group_name_Hall '-R 3 2"'
_cell_length_a 7.5561
_cell_length_b 7.5561
_cell_length_c 17.1589
_cell_angle_alpha 90.00
_cell_angle_beta 90.00
_cell_angle_gamma 120.00
loop_
_atom_site_label
_atom_site_type_symbol
_atom_site_fract_x
_atom_site_fract_y
_atom_site_fract_z
Li1 Li 0.0000 0.0000 0.0000
Mn1 Mn 0.0000 0.5000 0.5000
Tl1 Tl 0.0000 0.0000 0.3587
F1 F 0.0684 0.5342 0.6042
F2 F 0.0760 0.5380 0.8594
```